1.
The following is a PBE calculation of an optimized crystal structure of ZnRuI3, from the Alexandria database.

The structure in POSCAR format:
```
ZnRuI3
1.0
5.468 0.000 0.000
0.000 5.468 0.000
0.000 0.000 5.468
I Zn Ru
3 1 1
direct
0.000 0.000 0.500 I
0.500 0.000 0.000 I
0.000 0.500 0.000 I
0.500 0.500 0.500 Zn
0.000 0.000 0.000 Ru
```

Calculated values
**SG**: No. 221
**N(E_F)**: 6.71 states/eV per cell
**Formation energy from raw total energies**: 406 meV/atom
**Distance to the lowest polymorph of the same formula**: 0.0 meV per atom
**Total DFT energy (no corrections)**: -13.17 eV/cell

2.
The following is a PBE calculation of an optimized crystal structure of ZnRu3I, from the Alexandria database.

The structure in POSCAR format:
```
ZnRu3I
1.0
-3.878 2.227 -1.019
-1.767 -1.223 4.052
1.696 3.818 1.892
Ru Zn I
3 1 1
direct
0.000 0.000 0.500 Ru
0.500 0.000 0.000 Ru
0.000 0.500 0.000 Ru
0.000 0.000 0.000 Zn
0.500 0.500 0.500 I
```

Calculated values
**SG**: No. 221
**N(E_F)**: 6.05 states/eV per cell
**Formation energy from raw total energies**: 1656 meV/atom
**Distance to the lowest polymorph of the same formula**: 0.0 meV per atom
**Total DFT energy (no corrections)**: -22.37 eV/cell

3.
The following is a PBE calculation of an optimized crystal structure of Zn3RuI, from the Alexandria database.

The structure in POSCAR format:
```
Zn3RuI
1.0
-3.483 -2.459 2.490
-1.120 -2.545 -4.080
3.315 -3.443 1.238
Zn Ru I
3 1 1
direct
0.000 0.500 0.000 Zn
0.500 0.000 0.000 Zn
0.000 0.000 0.500 Zn
0.000 0.000 0.000 Ru
0.500 0.500 0.500 I
```

Calculated values
**SG**: No. 221
**N(E_F)**: 7.52 states/eV per cell
**Formation energy from raw total energies**: 542 meV/atom
**Distance to the lowest polymorph of the same formula**: 0.0 meV per atom
**Total DFT energy (no corrections)**: -11.94 eV/cell

4.
The following is a PBE calculation of an optimized crystal structure of Zn3RuI9, from the Alexandria database.

The structure in POSCAR format:
```
Zn3RuI9
1.0
9.155 0.000 3.852
4.214 9.486 2.790
0.358 -0.297 11.953
I Zn Ru
18 6 2
direct
0.725 0.404 0.616 I
0.069 0.588 0.518 I
0.915 0.430 0.869 I
0.929 0.325 0.208 I
0.255 0.904 0.116 I
0.448 0.778 0.450 I
0.785 0.930 0.369 I
0.826 0.088 0.018 I
0.739 0.740 0.053 I
0.324 0.278 0.950 I
0.168 0.658 0.823 I
0.793 0.984 0.727 I
0.538 0.825 0.708 I
0.162 0.093 0.667 I
0.468 0.240 0.553 I
0.351 0.158 0.323 I
0.078 0.593 0.167 I
0.496 0.484 0.227 I
0.794 0.580 0.685 Zn
0.466 0.741 0.233 Zn
0.560 0.241 0.733 Zn
0.011 0.934 0.824 Zn
0.231 0.434 0.324 Zn
0.941 0.080 0.185 Zn
0.024 0.503 0.005 Ru
0.468 0.003 0.505 Ru
```

Calculated values
**SG**: No. 9
**N(E_F)**: 10.05 states/eV per cell
**Formation energy from raw total energies**: -310 meV/atom
**Total DFT energy (no corrections)**: -62.15 eV/cell

5.
The following is a PBE calculation of an optimized crystal structure of Zn2RuI, from the Alexandria database.

The structure in POSCAR format:
```
Zn2RuI
1.0
6.370 0.000 0.000
0.000 6.370 0.000
3.185 3.185 5.660
Ru Zn I
2 4 2
direct
0.250 0.750 0.500 Ru
0.500 0.500 0.000 Ru
0.875 0.817 0.750 Zn
0.567 0.125 0.250 Zn
0.375 0.433 0.750 Zn
0.183 0.625 0.250 Zn
0.000 0.000 0.000 I
0.750 0.250 0.500 I
```

Calculated values
**SG**: No. 122
**N(E_F)**: 5.43 states/eV per cell
**Formation energy from raw total energies**: 772 meV/atom
**Distance to the lowest polymorph of the same formula**: 0.0 meV per atom
**Total DFT energy (no corrections)**: -20.57 eV/cell

6.
The following is a PBE calculation of an optimized crystal structure of ZnRuI2, from the Alexandria database.

The structure in POSCAR format:
```
ZnRuI2
1.0
-0.758 -5.044 -0.465
-4.759 -1.891 0.065
-2.061 -1.896 -4.288
Zn I Ru
1 2 1
direct
0.000 0.000 0.000 Zn
0.250 0.250 0.250 I
0.750 0.750 0.750 I
0.500 0.500 0.500 Ru
```

Calculated values
**SG**: No. 225
**N(E_F)**: 2.61 states/eV per cell
**Formation energy from raw total energies**: 795 meV/atom
**Distance to the lowest polymorph of the same formula**: 290.3 meV per atom
**Total DFT energy (no corrections)**: -10.47 eV/cell

7.
The following is a PBE calculation of an optimized crystal structure of ZnRuI2, from the Alexandria database.

The structure in POSCAR format:
```
ZnRuI2
1.0
-5.896 2.728 -0.121
-1.970 -4.051 4.683
-2.193 3.282 6.425
Zn I Ru
2 4 2
direct
0.250 0.750 0.500 Zn
0.500 0.500 0.000 Zn
0.082 0.625 0.250 I
0.375 0.332 0.750 I
0.668 0.125 0.250 I
0.875 0.918 0.750 I
0.750 0.250 0.500 Ru
0.000 0.000 0.000 Ru
```

Calculated values
**SG**: No. 122
**N(E_F)**: 1.89 states/eV per cell
**Formation energy from raw total energies**: 505 meV/atom
**Distance to the lowest polymorph of the same formula**: 0.0 meV per atom
**Total DFT energy (no corrections)**: -23.26 eV/cell

8.
The following is a PBE calculation of an optimized crystal structure of Zn2RuI8, from the Alexandria database.

The structure in POSCAR format:
```
Zn2RuI8
1.0
-3.663 -6.617 -3.079
3.608 4.110 -6.413
7.440 -2.445 3.117
I Ru Zn
8 1 2
direct
0.797 0.668 0.985 I
0.203 0.015 0.332 I
0.233 0.900 0.900 I
0.283 0.541 0.541 I
0.203 0.332 0.015 I
0.767 0.100 0.100 I
0.717 0.459 0.459 I
0.797 0.985 0.668 I
0.000 0.000 0.000 Ru
0.643 0.660 0.660 Zn
0.357 0.340 0.340 Zn
```

Calculated values
**SG**: No. 12
**N(E_F)**: 3.58 states/eV per cell
**Formation energy from raw total energies**: -293 meV/atom
**Total DFT energy (no corrections)**: -27.45 eV/cell

9.
The following is a PBE calculation of an optimized crystal structure of Zr2RuI, from the Alexandria database.

The structure in POSCAR format:
```
Zr2RuI
1.0
-5.615 2.578 0.233
-2.549 -5.605 0.566
-3.614 -1.076 6.838
Zr Ru I
4 2 2
direct
0.552 0.125 0.250 Zr
0.198 0.625 0.250 Zr
0.875 0.802 0.750 Zr
0.375 0.448 0.750 Zr
0.500 0.500 0.000 Ru
0.250 0.750 0.500 Ru
0.000 0.000 0.000 I
0.750 0.250 0.500 I
```

Calculated values
**SG**: No. 122
**N(E_F)**: 3.00 states/eV per cell
**Formation energy from raw total energies**: 429 meV/atom
**Distance to the lowest polymorph of the same formula**: 281.2 meV per atom
**Total DFT energy (no corrections)**: -52.41 eV/cell

10.
The following is a PBE calculation of an optimized crystal structure of Zr2RuI, from the Alexandria database.

The structure in POSCAR format:
```
Zr2RuI
1.0
0.000 3.450 3.450
3.450 0.000 3.450
3.450 3.450 0.000
Ru Zr I
1 2 1
direct
0.000 0.000 0.000 Ru
0.750 0.750 0.750 Zr
0.250 0.250 0.250 Zr
0.500 0.500 0.500 I
```

Calculated values
**SG**: No. 225
**N(E_F)**: 4.93 states/eV per cell
**Formation energy from raw total energies**: 148 meV/atom
**Distance to the lowest polymorph of the same formula**: 0.0 meV per atom
**Total DFT energy (no corrections)**: -27.33 eV/cell

11.
The following is a PBE calculation of an optimized crystal structure of Zr3RuI, from the Alexandria database.

The structure in POSCAR format:
```
Zr3RuI
1.0
5.134 0.000 0.000
0.000 5.134 0.000
0.000 0.000 5.134
Ru Zr I
1 3 1
direct
0.500 0.500 0.500 Ru
0.000 0.500 0.000 Zr
0.000 0.000 0.500 Zr
0.500 0.000 0.000 Zr
0.000 0.000 0.000 I
```

Calculated values
**SG**: No. 221
**N(E_F)**: 5.01 states/eV per cell
**Formation energy from raw total energies**: 1375 meV/atom
**Distance to the lowest polymorph of the same formula**: 1113.9 meV per atom
**Total DFT energy (no corrections)**: -29.59 eV/cell

12.
The following is a PBE calculation of an optimized crystal structure of Zr3RuI, from the Alexandria database.

The structure in POSCAR format:
```
Zr3RuI
1.0
5.091 0.000 0.000
0.000 5.091 0.000
0.000 0.000 5.091
Zr Ru I
3 1 1
direct
0.000 0.000 0.500 Zr
0.500 0.000 0.000 Zr
0.000 0.500 0.000 Zr
0.000 0.000 0.000 Ru
0.500 0.500 0.500 I
```

Calculated values
**SG**: No. 221
**N(E_F)**: 3.40 states/eV per cell
**Formation energy from raw total energies**: 261 meV/atom
**Distance to the lowest polymorph of the same formula**: 0.0 meV per atom
**Total DFT energy (no corrections)**: -35.16 eV/cell